w) VASP calculation (PBE) on an optimized crystal structure of WS2IN.

```
5
Lattice="4.905 0.000 0.000 0.000 4.905 0.000 0.000 0.000 3.878" Properties=species:S:1:pos:R:3 pbc="T T T"
I 2.453 2.453 1.939
S 0.000 2.453 0.000
S 2.453 0.000 0.000
N 0.000 0.000 1.939
W 0.000 0.000 0.000
```

Computed properties:
D(E_F)   4.5 states/eV/f.u.
Mass density   6.92 g/cm³

---

x) VASP calculation (PBE) on an optimized crystal structure of WS2IN.

```
5
Lattice="5.163 0.000 0.000 0.000 5.163 0.000 0.000 0.000 3.856" Properties=species:S:1:pos:R:3 pbc="T T T"
S 0.000 2.582 0.000
S 2.582 0.000 0.000
W 2.582 2.582 1.928
I 0.000 0.000 0.000
N 0.000 0.000 1.928
```

Computed properties:
D(E_F)   2.5 states/eV/f.u.
Mass density   6.28 g/cm³

---

Of them, x) has the lowest stability.

---

w) VASP calculation (PBE) on an optimized crystal structure of ZnSI2N.

```
5
Lattice="5.743 0.000 0.000 0.000 5.743 0.000 0.000 0.000 3.791" Properties=species:S:1:pos:R:3 pbc="T T T"
I 0.000 2.872 0.000
I 2.872 0.000 0.000
Zn 0.000 0.000 0.000
N 0.000 0.000 1.896
S 2.872 2.872 1.896
```

Computed properties:
D(E_F)   3.7 states/eV/f.u.
Mass density   4.85 g/cm³

---

x) VASP calculation (PBE) on an optimized crystal structure of ZnSI2N.

```
5
Lattice="7.272 0.000 0.000 0.000 7.272 0.000 0.000 0.000 3.220" Properties=species:S:1:pos:R:3 pbc="T T T"
I 3.636 0.000 0.000
I 0.000 3.636 0.000
S 0.000 0.000 0.000
Zn 3.636 3.636 1.610
N 0.000 0.000 1.610
```

Computed properties:
D(E_F)   3.2 states/eV/f.u.
Mass density   3.56 g/cm³

---

Of them, w) has the lowest stability.

---

w) VASP calculation (PBE) on an optimized crystal structure of ZnS2IN.

```
5
Lattice="-3.847 -2.845 2.055 2.375 -4.355 -1.583 1.952 -0.176 3.410" Properties=species:S:1:pos:R:3 pbc="T T T"
S 1.187 -2.177 -0.792
S -1.923 -1.422 1.027
N 0.976 -0.088 1.705
I 0.000 0.000 0.000
Zn 0.240 -3.688 1.941
```

Computed properties:
D(E_F)   2.7 states/eV/f.u.
Mass density   4.21 g/cm³

---

x) VASP calculation (PBE) on an optimized crystal structure of ZnS2IN.

```
5
Lattice="-2.539 -0.979 -4.212 3.667 -3.076 -1.496 -1.758 -2.944 1.743" Properties=species:S:1:pos:R:3 pbc="T T T"
S -1.269 -0.489 -2.106
S 1.834 -1.538 -0.748
Zn 0.000 0.000 0.000
I -0.314 -3.499 -1.982
N -0.879 -1.472 0.872
```

Computed properties:
D(E_F)   2.1 states/eV/f.u.
Mass density   4.64 g/cm³

---

Of them, w) has the lowest stability.

---

w) VASP calculation (PBE) on an optimized crystal structure of ZrSI2N.

```
5
Lattice="-4.871 2.362 2.501 0.337 -3.987 4.422 2.306 2.528 2.104" Properties=species:S:1:pos:R:3 pbc="T T T"
I 0.169 -1.993 2.211
I -2.436 1.181 1.251
S -1.114 0.452 4.514
Zr 0.000 0.000 0.000
N 1.153 1.264 1.052
```

Computed properties:
D(E_F)   3.6 states/eV/f.u.
Mass density   4.55 g/cm³

---

x) VASP calculation (PBE) on an optimized crystal structure of ZrSI2N.

```
5
Lattice="5.848 0.000 0.000 0.000 5.848 0.000 0.000 0.000 3.436" Properties=species:S:1:pos:R:3 pbc="T T T"
I 2.924 0.000 0.000
I 0.000 2.924 0.000
S 0.000 0.000 0.000
N 0.000 0.000 1.718
Zr 2.924 2.924 1.718
```

Computed properties:
D(E_F)   3.5 states/eV/f.u.
Mass density   5.53 g/cm³

---

Of them, x) has the lowest stability.

---

w) VASP calculation (PBE) on an optimized crystal structure of ZrS2IN.

```
5
Lattice="-1.692 3.777 -3.072 0.657 -3.046 -4.106 -3.635 -1.311 0.390" Properties=species:S:1:pos:R:3 pbc="T T T"
S -0.846 1.889 -1.536
S 0.329 -1.523 -2.053
Zr -2.334 -0.289 -3.394
I 0.000 0.000 0.000
N -1.817 -0.655 0.195
```

Computed properties:
D(E_F)   5.3 states/eV/f.u.
Mass density   4.77 g/cm³

---

x) VASP calculation (PBE) on an optimized crystal structure of ZrS2IN.

```
5
Lattice="5.183 0.000 0.000 0.000 5.183 0.000 0.000 0.000 4.108" Properties=species:S:1:pos:R:3 pbc="T T T"
Zr 0.000 0.000 0.000
N 0.000 0.000 2.054
S 0.000 2.591 0.000
S 2.591 0.000 0.000
I 2.591 2.591 2.054
```

Computed properties:
D(E_F)   6.1 states/eV/f.u.
Mass density   4.46 g/cm³

---

Of them, w) has the lowest stability.

---

w) VASP calculation (PBE) on an optimized crystal structure of SbI2N.

```
8
Lattice="-2.089 2.997 2.290 -3.439 -4.771 3.139 13.209 0.300 2.761" Properties=species:S:1:pos:R:3 pbc="T T T"
I 5.020 0.587 5.470
I -3.299 -1.252 5.156
I 2.661 -2.061 2.720
I 10.980 -0.223 3.033
Sb 4.222 1.821 3.109
Sb 3.459 -3.296 5.080
N 9.155 -1.529 6.205
N -1.473 0.054 1.984
```

Computed properties:
Mass density   3.99 g/cm³

---

x) VASP calculation (PBE) on an optimized crystal structure of SbI2N.

```
8
Lattice="6.597 0.000 0.000 0.000 6.597 0.000 3.299 3.299 5.777" Properties=species:S:1:pos:R:3 pbc="T T T"
N 3.299 6.597 2.888
N 3.299 3.299 0.000
I 3.704 1.649 1.444
I 8.247 7.003 4.332
I 4.948 6.192 4.332
I 2.893 4.948 1.444
Sb 0.000 0.000 0.000
Sb 6.597 3.299 2.888
```

Computed properties:
D(E_F)   1.5 states/eV/f.u.
Mass density   5.15 g/cm³

---

Of them, x) has the lowest stability.

---

w) VASP calculation (PBE) on an optimized crystal structure of Sb2IN.

```
4
Lattice="-3.939 -2.148 2.345 -3.614 2.896 2.045 -4.600 0.171 -2.106" Properties=species:S:1:pos:R:3 pbc="T T T"
Sb -3.039 0.230 0.571
Sb -9.116 0.689 1.713
I -6.077 0.460 1.142
N 0.000 0.000 0.000
```

Computed properties:
D(E_F)   2.8 states/eV/f.u.
Mass density   6.96 g/cm³

---

x) VASP calculation (PBE) on an optimized crystal structure of Sb2IN.

```
8
Lattice="5.933 0.000 0.000 0.000 5.933 0.000 2.967 2.967 6.710" Properties=species:S:1:pos:R:3 pbc="T T T"
Sb 3.460 1.483 1.678
Sb 7.417 6.426 5.033
Sb 4.450 5.440 5.033
Sb 2.474 4.450 1.678
I 0.000 0.000 0.000
I 5.933 2.967 3.355
N 2.967 5.933 3.355
N 2.967 2.967 0.000
```

Computed properties:
D(E_F)   0.3 states/eV/f.u.
Mass density   5.40 g/cm³

---

Of them, w) has the lowest stability.